Entry 1:
An optimized crystal structure of Y2ThBi, computed with PBE-GGA.

Unit cell a=10.972 b=10.972 c=10.972 alpha=19.13 beta=19.13 gamma=19.13
Element x y z (fractional)
Y 0.247 0.247 0.247
Y 0.753 0.753 0.753
Th 0.000 0.000 0.000
Bi 0.500 0.500 0.500

Calculated values
- space group = R-3m, No. 166
- ΔE to the lowest computed polymorph (meV per atom) = 136.7
- DFT total energy (eV per atom) = -6.291
- magnetic moment (μB per formula unit) = 0.0
- calculated formation energy (kJ per mole of atoms) = -23

Entry 2:
An optimized crystal structure of YTh3Bi6, computed with PBE-GGA.

Unit cell a=10.778 b=10.778 c=10.778 alpha=36.14 beta=36.14 gamma=36.14
Element x y z (fractional)
Y 0.000 0.000 0.000
Th 0.180 0.180 0.180
Th 0.500 0.500 0.500
Th 0.820 0.820 0.820
Bi 0.244 0.753 0.753
Bi 0.247 0.247 0.756
Bi 0.247 0.756 0.247
Bi 0.753 0.244 0.753
Bi 0.753 0.753 0.244
Bi 0.756 0.247 0.247

Calculated values
- space group = R-3m, No. 166
- DFT total energy (eV per atom) = -5.403
- magnetic moment (μB per formula unit) = 0.0
- calculated formation energy (kJ per mole of atoms) = -19

> Look up the calculated formation energy of the second one.

-19 kJ per mole of atoms